Entry from the Alexandria database: a relaxed structure of NbCo2Ge4 (PBE).

Unit cell a=6.8768 b=6.8768 c=6.8768 alpha=138.72 beta=138.72 gamma=59.80
Positions (direct):
Nb1 0.0000 0.0000 0.0000
Co1 0.4027 0.4027 0.0000
Co2 0.5973 0.5973 0.0000
Ge1 0.0000 0.5000 0.5000
Ge2 0.2149 0.2149 0.0000
Ge3 0.5000 0.0000 0.5000
Ge4 0.7851 0.7851 0.0000

Values from the calculation:
For the energy of formation, the calculation gives 367 kJ/mol of formula units. The calculation puts the magnetization at 1.4 μB/cell.